No. 1
# PBE-GGA Th4CdHg2, optimized geometry
# energy above the most stable polymorph in this dataset: 0.153 eV per atom
# spin magnetization: 0.00 μB per formula unit
# DOS at the Fermi energy: 7.27 states/eV/f.u.
# ΔH_f (0 K): 150 meV per atom
data_Th4CdHg2
_chemical_formula_sum 'Th12 Cd3 Hg6'
_space_group_name_H-M_alt 'R -3 m'
_space_group_IT_number 166
_space_group_name_Hall '-R 3 2"'
_cell_length_a 5.4230
_cell_length_b 5.4230
_cell_length_c 26.0638
_cell_angle_alpha 90.00
_cell_angle_beta 90.00
_cell_angle_gamma 120.00
loop_
_atom_site_label
_atom_site_type_symbol
_atom_site_fract_x
_atom_site_fract_y
_atom_site_fract_z
_atom_site_occupancy
Th1 Th 0.0000 0.0000 0.1286 1
Th2 Th 0.0000 0.0000 0.2725 1
Cd1 Cd 0.0000 0.0000 0.5000 1
Hg1 Hg 0.0000 0.0000 0.3909 1

No. 2
# PBE-GGA Ta2Al2Ir, optimized geometry
# energy above the most stable polymorph in this dataset: 0.000 eV per atom
# spin magnetization: 0.00 μB per formula unit
# DOS at the Fermi energy: 2.08 states/eV/f.u.
# ΔH_f (0 K): -355 meV per atom
data_Ta2Al2Ir
_chemical_formula_sum 'Ta4 Al4 Ir2'
_space_group_name_H-M_alt 'P 4/m b m'
_space_group_IT_number 127
_space_group_name_Hall '-P 4 2ab'
_cell_length_a 6.3269
_cell_length_b 6.3269
_cell_length_c 4.0710
_cell_angle_alpha 90.00
_cell_angle_beta 90.00
_cell_angle_gamma 90.00
loop_
_atom_site_label
_atom_site_type_symbol
_atom_site_fract_x
_atom_site_fract_y
_atom_site_fract_z
_atom_site_occupancy
Ta1 Ta 0.1605 0.3395 0.0000 1
Al1 Al 0.1415 0.6415 0.5000 1
Ir1 Ir 0.0000 0.0000 0.5000 1

No. 3
# PBE-GGA Pr2Sm5Y6, optimized geometry
# spin magnetization: 0.00 μB per formula unit
# DOS at the Fermi energy: 17.73 states/eV/f.u.
# ΔH_f (0 K): 95 meV per atom
data_Pr2Sm5Y6
_chemical_formula_sum 'Pr4 Sm10 Y12'
_space_group_name_H-M_alt 'P b a m'
_space_group_IT_number 55
_cell_length_a 11.8428
_cell_length_b 20.6232
_cell_length_c 3.6164
_cell_angle_alpha 90.00
_cell_angle_beta 90.00
_cell_angle_gamma 90.00
loop_
_space_group_symop_operation_xyz
'x,y,z'
'-x,-y,-z'
'-x,-y,z'
'x,y,-z'
'x+1/2,-y+1/2,-z'
'-x+1/2,y+1/2,z'
'-x+1/2,y+1/2,-z'
'x+1/2,-y+1/2,z'
loop_
_atom_site_label
_atom_site_type_symbol
_atom_site_fract_x
_atom_site_fract_y
_atom_site_fract_z
_atom_site_occupancy
Pr1 Pr 0.1695 0.2153 0.0000 1
Sm1 Sm 0.0000 0.5000 0.5000 1
Sm2 Sm 0.0892 0.7771 0.5000 1
Sm3 Sm 0.2016 0.0498 0.5000 1
Y1 Y 0.0581 0.9216 0.0000 1
Y2 Y 0.0785 0.6335 0.0000 1
Y3 Y 0.1799 0.3710 0.5000 1

No. 4
# PBE-GGA Tb2Sm3Tm6Th, optimized geometry
# spin magnetization: 0.00 μB per formula unit
# DOS at the Fermi energy: 14.93 states/eV/f.u.
# ΔH_f (0 K): 22 meV per atom
data_Tb2Sm3Tm6Th
_chemical_formula_sum 'Tb4 Sm6 Tm12 Th2'
_space_group_name_H-M_alt 'C 1 2/m 1'
_space_group_IT_number 12
_cell_length_a 6.1493
_cell_length_b 10.6492
_cell_length_c 11.6754
_cell_angle_alpha 90.00
_cell_angle_beta 100.13
_cell_angle_gamma 90.00
loop_
_space_group_symop_operation_xyz
'x,y,z'
'-x,-y,-z'
'-x,y,-z'
'x,-y,z'
'x+1/2,y+1/2,z'
'-x+1/2,-y+1/2,-z'
'-x+1/2,y+1/2,-z'
'x+1/2,-y+1/2,z'
loop_
_atom_site_label
_atom_site_type_symbol
_atom_site_fract_x
_atom_site_fract_y
_atom_site_fract_z
_atom_site_occupancy
Tb1 Tb 0.0000 0.1667 0.0000 1
Sm1 Sm 0.0000 0.0000 0.5000 1
Sm2 Sm 0.0000 0.3327 0.5000 1
Tm1 Tm 0.2466 0.5000 0.7521 1
Tm2 Tm 0.2481 0.3351 0.2479 1
Th1 Th 0.0000 0.5000 0.0000 1

Please write out number 2 again, unchanged.
# PBE-GGA Ta2Al2Ir, optimized geometry
# energy above the most stable polymorph in this dataset: 0.000 eV per atom
# spin magnetization: 0.00 μB per formula unit
# DOS at the Fermi energy: 2.08 states/eV/f.u.
# ΔH_f (0 K): -355 meV per atom
data_Ta2Al2Ir
_chemical_formula_sum 'Ta4 Al4 Ir2'
_space_group_name_H-M_alt 'P 4/m b m'
_space_group_IT_number 127
_space_group_name_Hall '-P 4 2ab'
_cell_length_a 6.3269
_cell_length_b 6.3269
_cell_length_c 4.0710
_cell_angle_alpha 90.00
_cell_angle_beta 90.00
_cell_angle_gamma 90.00
loop_
_atom_site_label
_atom_site_type_symbol
_atom_site_fract_x
_atom_site_fract_y
_atom_site_fract_z
_atom_site_occupancy
Ta1 Ta 0.1605 0.3395 0.0000 1
Al1 Al 0.1415 0.6415 0.5000 1
Ir1 Ir 0.0000 0.0000 0.5000 1

> Which value of ΔH_f (0 K) does entry 4 give?

22 meV per atom

> Among the records above, which one has the highest DOS at the Fermi energy?

Pr2Sm5Y6